VASP calculation (PBE) on a relaxed structure of NbGePt.

Calculated values
As for the electronic total energy: -7.13 eV/atom.

Geometry as CIF:
```
data_NbGePt
_chemical_formula_sum 'Nb2 Ge2 Pt2'
_cell_length_a 3.5415
_cell_length_b 3.5415
_cell_length_c 8.1016
_cell_angle_alpha 90.00
_cell_angle_beta 90.00
_cell_angle_gamma 90.00
_space_group_name_H-M_alt 'I 4 m m'
_space_group_IT_number 107
_space_group_name_Hall 'I 4 -2'
loop_
_atom_site_label
_atom_site_type_symbol
_atom_site_fract_x
_atom_site_fract_y
_atom_site_fract_z
_atom_site_occupancy
Nb1 Nb 0.0000 0.0000 0.0000 1
Ge1 Ge 0.0000 0.0000 0.6650 1
Pt1 Pt 0.0000 0.0000 0.3327 1
```

***

VASP calculation (PBE) on a relaxed structure of CaMg.

Calculated values
As for the electronic total energy: -1.76 eV/atom.

Geometry as CIF:
```
data_CaMg
_chemical_formula_sum 'Ca2 Mg2'
_cell_length_a 3.7249
_cell_length_b 5.8070
_cell_length_c 5.9456
_cell_angle_alpha 90.00
_cell_angle_beta 90.00
_cell_angle_gamma 90.00
_space_group_name_H-M_alt 'P m m n'
_space_group_IT_number 59
loop_
_space_group_symop_operation_xyz
'x,y,z'
'-x,-y,-z'
'-x+1/2,-y+1/2,z'
'x+1/2,y+1/2,-z'
'x+1/2,-y,-z'
'-x+1/2,y,z'
'-x,y+1/2,-z'
'x,-y+1/2,z'
loop_
_atom_site_label
_atom_site_type_symbol
_atom_site_fract_x
_atom_site_fract_y
_atom_site_fract_z
_atom_site_occupancy
Ca1 Ca 0.2500 0.2500 0.0993 1
Mg1 Mg 0.2500 0.7500 0.4085 1
```

***

VASP calculation (PBE) on a relaxed structure of Ba2Tl2Hg5.

Calculated values
As for the electronic total energy: -1.40 eV/atom.

Geometry as CIF:
```
data_Ba2Tl2Hg5
_chemical_formula_sum 'Ba2 Tl2 Hg5'
_cell_length_a 5.2053
_cell_length_b 5.2053
_cell_length_c 10.9675
_cell_angle_alpha 90.00
_cell_angle_beta 90.00
_cell_angle_gamma 90.00
_space_group_name_H-M_alt 'P 4/m m m'
_space_group_IT_number 123
_space_group_name_Hall '-P 4 2'
loop_
_atom_site_label
_atom_site_type_symbol
_atom_site_fract_x
_atom_site_fract_y
_atom_site_fract_z
_atom_site_occupancy
Ba1 Ba 0.0000 0.0000 0.0000 1
Ba2 Ba 0.0000 0.0000 0.5000 1
Tl1 Tl 0.5000 0.5000 0.1371 1
Hg1 Hg 0.0000 0.5000 0.2811 1
Hg2 Hg 0.5000 0.5000 0.5000 1
```

***

VASP calculation (PBE) on a relaxed structure of SrMgRu2.

Calculated values
As for the electronic total energy: -4.85 eV/atom.

Geometry as CIF:
```
data_SrMgRu2
_chemical_formula_sum 'Sr4 Mg4 Ru8'
_cell_length_a 4.6617
_cell_length_b 4.6617
_cell_length_c 18.6256
_cell_angle_alpha 90.00
_cell_angle_beta 90.00
_cell_angle_gamma 90.00
_space_group_name_H-M_alt 'I -4 2 d'
_space_group_IT_number 122
_space_group_name_Hall 'I -4 2bw'
loop_
_atom_site_label
_atom_site_type_symbol
_atom_site_fract_x
_atom_site_fract_y
_atom_site_fract_z
_atom_site_occupancy
Sr1 Sr 0.0000 0.0000 0.0000 1
Mg1 Mg 0.0000 0.0000 0.5000 1
Ru1 Ru 0.0528 0.2500 0.6250 1
```

***

VASP calculation (PBE) on a relaxed structure of GePdAu.

Calculated values
Its energy above the most stable polymorph in this dataset is 0.00 kJ/mol of atoms.

Geometry as CIF:
```
data_GePdAu
_chemical_formula_sum 'Ge1 Pd1 Au1'
_cell_length_a 4.4040
_cell_length_b 4.4040
_cell_length_c 3.0234
_cell_angle_alpha 90.00
_cell_angle_beta 90.00
_cell_angle_gamma 120.00
_space_group_name_H-M_alt 'P 3 m 1'
_space_group_IT_number 156
loop_
_space_group_symop_operation_xyz
'x,y,z'
'-y,x-y,z'
'-x+y,-x,z'
'-y,-x,z'
'-x+y,y,z'
'x,x-y,z'
loop_
_atom_site_label
_atom_site_type_symbol
_atom_site_fract_x
_atom_site_fract_y
_atom_site_fract_z
_atom_site_occupancy
Ge1 Ge 0.0000 0.0000 0.0000 1
Pd1 Pd 0.6667 0.3333 0.0731 1
Au1 Au 0.3333 0.6667 0.5702 1
```

***

VASP calculation (PBE) on a relaxed structure of BaNi2Mo.

Calculated values
Its energy above the most stable polymorph in this dataset is 0.00 kJ/mol of atoms.

Geometry as CIF:
```
data_BaNi2Mo
_chemical_formula_sum 'Ba3 Ni6 Mo3'
_cell_length_a 4.2208
_cell_length_b 4.2208
_cell_length_c 17.3775
_cell_angle_alpha 90.00
_cell_angle_beta 90.00
_cell_angle_gamma 120.00
_space_group_name_H-M_alt 'R -3 m'
_space_group_IT_number 166
_space_group_name_Hall '-R 3 2"'
loop_
_atom_site_label
_atom_site_type_symbol
_atom_site_fract_x
_atom_site_fract_y
_atom_site_fract_z
_atom_site_occupancy
Ba1 Ba 0.0000 0.0000 0.0000 1
Ni1 Ni 0.0000 0.0000 0.1879 1
Mo1 Mo 0.0000 0.0000 0.5000 1
```